No. 1
# CrAgP2S

An optimized crystal structure of CrAgP2S (PBE-GGA, Alexandria via LeMat-Bulk).

Output
energy above the most stable polymorph in this dataset: 0.0 meV per atom
E: -5.017 eV per atom
raw formation energy: 2.3 eV/f.u.

Cell: 4.4709 4.4709 4.5880 Å, 90.00 90.00 90.00°
Positions (direct):
Ag 0.5000 0.5000 0.5000
S 0.0000 0.0000 0.5000
P 0.0000 0.5000 0.0000
P 0.5000 0.0000 0.0000
Cr 0.0000 0.0000 0.0000

---

No. 2
# YTaBr

An optimized crystal structure of YTaBr (PBE-GGA, Alexandria via LeMat-Bulk).

Output
energy above the most stable polymorph in this dataset: 287.1 meV per atom
E: -6.288 eV per atom
raw formation energy: 1.1 eV/f.u.

Cell: 4.9135 4.9135 3.2546 Å, 90.00 90.00 120.00°
Positions (direct):
Ta 0.6667 0.3333 0.1665
Y 0.3333 0.6667 0.6667
Br 0.0000 0.0000 0.1667

---

> Which of these has the lowest energy above the most stable polymorph in this dataset?

CrAgP2S

---

Repeat the first record exactly.
# CrAgP2S

An optimized crystal structure of CrAgP2S (PBE-GGA, Alexandria via LeMat-Bulk).

Output
energy above the most stable polymorph in this dataset: 0.0 meV per atom
E: -5.017 eV per atom
raw formation energy: 2.3 eV/f.u.

Cell: 4.4709 4.4709 4.5880 Å, 90.00 90.00 90.00°
Positions (direct):
Ag 0.5000 0.5000 0.5000
S 0.0000 0.0000 0.5000
P 0.0000 0.5000 0.0000
P 0.5000 0.0000 0.0000
Cr 0.0000 0.0000 0.0000

---

Copy entry 2 word for word.
# YTaBr

An optimized crystal structure of YTaBr (PBE-GGA, Alexandria via LeMat-Bulk).

Output
energy above the most stable polymorph in this dataset: 287.1 meV per atom
E: -6.288 eV per atom
raw formation energy: 1.1 eV/f.u.

Cell: 4.9135 4.9135 3.2546 Å, 90.00 90.00 120.00°
Positions (direct):
Ta 0.6667 0.3333 0.1665
Y 0.3333 0.6667 0.6667
Br 0.0000 0.0000 0.1667

---

> The lowest raw formation energy belongs to which entry?

YTaBr